[1]
Compound: Ho2AlNi4Ge3
Source: Alexandria via LeMat-Bulk
Functional: PBE-GGA
Structure: optimized geometry

The calculation puts the formation energy at -0.707 eV/atom.

It has space group P-4m2 (No. 115), with a = 4.027 Å, b = 4.027 Å, c = 9.861 Å, α = 90.00°, β = 90.00° and γ = 90.00°. The asymmetric unit holds Ho at (0.000, 0.500, 0.247), Al at (0.000, 0.000, 0.500), Ni at (0.000, 0.000, 0.000), Ni at (0.000, 0.500, 0.635), Ni at (0.500, 0.500, 0.000), Ge at (0.000, 0.500, 0.871) and Ge at (0.500, 0.500, 0.500).



[2]
Compound: Ho2AlGe4Pd3
Source: Alexandria via LeMat-Bulk
Functional: PBE-GGA
Structure: optimized geometry

The calculation puts the formation energy at -0.727 eV/atom.

It has space group P-4m2 (No. 115), with a = 4.017 Å, b = 4.017 Å, c = 11.441 Å, α = 90.00°, β = 90.00° and γ = 90.00°. The asymmetric unit holds Ho at (0.000, 0.500, 0.244), Al at (0.500, 0.500, 0.000), Ge at (0.000, 0.000, 0.500), Ge at (0.000, 0.500, 0.856), Ge at (0.500, 0.500, 0.500), Pd at (0.000, 0.000, 0.000) and Pd at (0.000, 0.500, 0.643).



[3]
Compound: PmHoAlGe
Source: Alexandria via LeMat-Bulk
Functional: PBE-GGA
Structure: optimized geometry

The value obtained for the energy relative to the lowest polymorph listed for this composition is 0 meV/atom. The calculation puts the formation energy at -0.677 eV/atom.

It has space group Amm2 (No. 38), with a = 4.054 Å, b = 4.405 Å, c = 11.055 Å, α = 90.00°, β = 90.00° and γ = 90.00°. The asymmetric unit holds Pm at (0.000, 0.000, 0.000), Ho at (0.500, 0.000, 0.718), Al at (0.500, 0.000, 0.429) and Ge at (0.000, 0.000, 0.279).



Number 1: final energy -56.943 eV/f.u.. Number 2: final energy -54.215 eV/f.u.. Number 3: final energy -20.397 eV/f.u..